No. 1
{
  "formula": "LaY2Zr",
  "functional": "PBE",
  "state": "optimized geometry",
  "lattice_angstrom": [[3.472, -4.950, 0.000], [3.472, 4.950, 0.000], [0.000, 0.000, 3.494]],
  "species": ["La", "Y", "Y", "Zr"],
  "fractional_positions": [[0.000, 0.000, 0.000], [0.000, 0.500, 0.500], [0.500, 0.000, 0.500], [0.500, 0.500, 0.000]],
  "total_magnetization_mub_per_cell": 0.00,
  "formation_enthalpy_0k_mev_per_atom": 122
}

***

No. 2
{
  "formula": "YOsPtAu2",
  "functional": "PBE",
  "state": "optimized geometry",
  "lattice_angstrom": [[4.969, 0.000, 0.000], [0.000, 4.969, 0.000], [0.000, 0.000, 5.182]],
  "species": ["Y", "Os", "Pt", "Au", "Au"],
  "fractional_positions": [[0.000, 0.000, 0.000], [0.000, 0.000, 0.500], [0.500, 0.500, 0.000], [0.000, 0.500, 0.500], [0.500, 0.000, 0.500]],
  "total_magnetization_mub_per_cell": 1.06,
  "formation_enthalpy_0k_mev_per_atom": 932
}

***

No. 3
{
  "formula": "NaAu2I6",
  "functional": "PBE",
  "state": "optimized geometry",
  "lattice_angstrom": [[8.333, -5.706, 0.000], [8.333, 5.706, 0.000], [-5.439, 0.000, 8.941]],
  "species": ["Na", "Na", "Au", "Au", "Au", "Au", "I", "I", "I", "I", "I", "I", "I", "I", "I", "I", "I", "I"],
  "fractional_positions": [[0.241, 0.759, 0.750], [0.759, 0.241, 0.250], [0.150, 0.290, 0.687], [0.290, 0.150, 0.187], [0.710, 0.850, 0.813], [0.850, 0.710, 0.313], [0.118, 0.773, 0.423], [0.157, 0.207, 0.401], [0.207, 0.157, 0.901], [0.227, 0.882, 0.077], [0.372, 0.432, 0.818], [0.432, 0.372, 0.318], [0.568, 0.628, 0.682], [0.628, 0.568, 0.182], [0.773, 0.118, 0.923], [0.793, 0.843, 0.099], [0.843, 0.793, 0.599], [0.882, 0.227, 0.577]],
  "formation_energy_uncorrected_ev_per_atom": -0.237,
  "total_magnetization_mub_per_cell": 0.00
}

***

No. 4
{
  "formula": "Ac4AlBr5",
  "functional": "PBE",
  "state": "optimized geometry",
  "lattice_angstrom": [[10.123, -2.268, 0.000], [10.123, 2.268, 0.000], [-2.363, 0.000, 8.942]],
  "species": ["Ac", "Ac", "Ac", "Ac", "Al", "Br", "Br", "Br", "Br", "Br"],
  "fractional_positions": [[0.000, 0.000, 0.234], [0.000, 0.000, 0.766], [0.344, 0.344, 0.906], [0.656, 0.656, 0.094], [0.500, 0.500, 0.000], [0.168, 0.168, 0.336], [0.172, 0.172, 0.857], [0.500, 0.500, 0.500], [0.828, 0.828, 0.143], [0.832, 0.832, 0.664]],
  "formation_energy_uncorrected_ev_per_atom": -1.361,
  "total_magnetization_mub_per_cell": 0.00
}

***

No. 5
{
  "formula": "Ac4NiPtBr2",
  "functional": "PBE",
  "state": "optimized geometry",
  "lattice_angstrom": [[7.603, 0.000, 0.000], [0.000, 4.408, 0.000], [-2.540, 0.000, 8.228]],
  "species": ["Ac", "Ac", "Ac", "Ac", "Ni", "Pt", "Br", "Br"],
  "fractional_positions": [[0.227, 0.000, 0.193], [0.261, 0.500, 0.806], [0.739, 0.500, 0.194], [0.773, 0.000, 0.807], [0.000, 0.500, 0.000], [0.500, 0.000, 0.000], [0.000, 0.000, 0.500], [0.500, 0.500, 0.500]],
  "formation_energy_uncorrected_ev_per_atom": -1.093,
  "total_magnetization_mub_per_cell": 0.00
}

***

No. 6
{
  "formula": "Ag2Cl3F6",
  "functional": "PBE",
  "state": "optimized geometry",
  "lattice_angstrom": [[6.552, 0.000, 0.000], [3.235, 5.767, 0.000], [3.250, 1.796, 12.270]],
  "species": ["Ag", "Ag", "Ag", "Ag", "Cl", "Cl", "Cl", "Cl", "Cl", "Cl", "F", "F", "F", "F", "F", "F", "F", "F", "F", "F", "F", "F"],
  "fractional_positions": [[0.166, 0.166, 0.000], [0.331, 0.335, 0.500], [0.669, 0.665, 0.500], [0.834, 0.834, 0.000], [0.072, 0.431, 0.249], [0.247, 0.934, 0.749], [0.443, 0.749, 0.250], [0.557, 0.251, 0.750], [0.753, 0.066, 0.251], [0.928, 0.569, 0.751], [0.037, 0.412, 0.402], [0.096, 0.460, 0.098], [0.148, 0.914, 0.903], [0.344, 0.962, 0.598], [0.417, 0.656, 0.402], [0.474, 0.841, 0.098], [0.526, 0.159, 0.902], [0.583, 0.344, 0.598], [0.656, 0.038, 0.402], [0.852, 0.086, 0.097], [0.904, 0.540, 0.902], [0.963, 0.588, 0.598]],
  "formation_energy_uncorrected_ev_per_atom": -0.699,
  "total_magnetization_mub_per_cell": 0.00
}

***

No. 7
{
  "formula": "NdSc5",
  "functional": "PBE",
  "state": "optimized geometry",
  "lattice_angstrom": [[2.664, -8.193, 0.000], [2.664, 8.193, 0.000], [0.000, 0.000, 3.601]],
  "species": ["Nd", "Sc", "Sc", "Sc", "Sc", "Sc"],
  "fractional_positions": [[0.000, 0.000, 0.000], [0.184, 0.816, 0.500], [0.343, 0.657, 0.000], [0.500, 0.500, 0.500], [0.657, 0.343, 0.000], [0.816, 0.184, 0.500]],
  "total_magnetization_mub_per_cell": 0.00,
  "formation_enthalpy_0k_mev_per_atom": 95
}

***

No. 8
{
  "formula": "PaSi2Ni3",
  "functional": "PBE",
  "state": "optimized geometry",
  "lattice_angstrom": [[7.658, -1.929, 0.000], [7.658, 1.929, 0.000], [-2.810, 0.000, 8.709]],
  "species": ["Pa", "Pa", "Pa", "Si", "Si", "Si", "Si", "Si", "Si", "Ni", "Ni", "Ni", "Ni", "Ni", "Ni", "Ni", "Ni", "Ni"],
  "fractional_positions": [[0.000, 0.000, 0.000], [0.156, 0.156, 0.704], [0.844, 0.844, 0.296], [0.200, 0.200, 0.118], [0.360, 0.360, 0.552], [0.475, 0.475, 0.231], [0.525, 0.525, 0.769], [0.640, 0.640, 0.448], [0.800, 0.800, 0.882], [0.046, 0.046, 0.350], [0.217, 0.217, 0.388], [0.332, 0.332, 0.044], [0.374, 0.374, 0.806], [0.500, 0.500, 0.500], [0.626, 0.626, 0.194], [0.668, 0.668, 0.956], [0.783, 0.783, 0.612], [0.954, 0.954, 0.650]],
  "formation_energy_uncorrected_ev_per_atom": -0.701,
  "total_magnetization_mub_per_cell": 0.00
}

***

No. 9
{
  "formula": "Pr4Nd2YHo2",
  "functional": "PBE",
  "state": "optimized geometry",
  "lattice_angstrom": [[7.768, -2.589, 0.000], [7.768, 2.589, 0.000], [-2.597, 0.000, 7.708]],
  "species": ["Pr", "Pr", "Pr", "Pr", "Nd", "Nd", "Y", "Ho", "Ho"],
  "fractional_positions": [[0.055, 0.055, 0.331], [0.278, 0.278, 0.670], [0.722, 0.722, 0.330], [0.945, 0.945, 0.669], [0.388, 0.388, 0.330], [0.612, 0.612, 0.670], [0.500, 0.500, 0.000], [0.167, 0.167, 0.000], [0.833, 0.833, 0.000]],
  "total_magnetization_mub_per_cell": 0.00,
  "formation_enthalpy_0k_mev_per_atom": 21
}

***

No. 10
{
  "formula": "AlSbP2Cl",
  "functional": "PBE",
  "state": "optimized geometry",
  "lattice_angstrom": [[4.804, 0.000, 0.000], [0.000, 4.804, 0.000], [0.000, 0.000, 4.517]],
  "species": ["Al", "Sb", "P", "P", "Cl"],
  "fractional_positions": [[0.000, 0.000, 0.000], [0.500, 0.500, 0.500], [0.000, 0.500, 0.000], [0.500, 0.000, 0.000], [0.000, 0.000, 0.500]],
  "formation_energy_uncorrected_ev_per_atom": 0.196,
  "total_magnetization_mub_per_cell": 0.00
}

***

No. 11
{
  "formula": "Na3Be2F8",
  "functional": "PBE",
  "state": "optimized geometry",
  "lattice_angstrom": [[2.686, 1.551, 6.069], [-2.686, 1.551, 6.069], [0.000, -3.102, 6.069]],
  "species": ["Na", "Na", "Na", "Be", "Be", "F", "F", "F", "F", "F", "F", "F", "F"],
  "fractional_positions": [[0.000, 0.000, 0.000], [0.196, 0.196, 0.196], [0.804, 0.804, 0.804], [0.405, 0.405, 0.405], [0.595, 0.595, 0.595], [0.250, 0.727, 0.727], [0.273, 0.273, 0.750], [0.273, 0.750, 0.273], [0.319, 0.319, 0.319], [0.681, 0.681, 0.681], [0.727, 0.250, 0.727], [0.727, 0.727, 0.250], [0.750, 0.273, 0.273]],
  "formation_energy_uncorrected_ev_per_atom": -2.768,
  "total_magnetization_mub_per_cell": 1.13
}

***

No. 12
{
  "formula": "Sm4OsSe2Cl",
  "functional": "PBE",
  "state": "optimized geometry",
  "lattice_angstrom": [[7.292, 0.000, 0.000], [0.000, 4.068, 0.000], [-2.207, 0.000, 7.010]],
  "species": ["Sm", "Sm", "Sm", "Sm", "Os", "Se", "Se", "Cl"],
  "fractional_positions": [[0.225, 0.000, 0.230], [0.227, 0.500, 0.757], [0.773, 0.500, 0.243], [0.775, 0.000, 0.770], [0.000, 0.500, 0.000], [0.000, 0.000, 0.500], [0.500, 0.500, 0.500], [0.500, 0.000, 0.000]],
  "formation_energy_uncorrected_ev_per_atom": -1.242,
  "total_magnetization_mub_per_cell": 0.00
}